(1)
# Pr2Si4NiPd, optimized geometry, DFT PBE-GGA
# Uncorrected energy ... -0.2231 Ha/atom
# Total magnetic moment ... 0.00 Bohr magnetons per cell
# Calculated volume ... 147 Å³/cell
# Density ... 6.3 g/cm³
data_Pr2Si4NiPd
_chemical_formula_sum 'Pr2 Si4 Ni1 Pd1'
_space_group_name_H-M_alt 'P 1'
_space_group_IT_number 1
_cell_length_a 4.151
_cell_length_b 8.626
_cell_length_c 8.626
_cell_angle_alpha 28.41
_cell_angle_beta 90.00
_cell_angle_gamma 90.00
loop_
_space_group_symop_operation_xyz
'x,y,z'
loop_
_atom_site_label
_atom_site_type_symbol
_atom_site_fract_x
_atom_site_fract_y
_atom_site_fract_z
Si1 Si 0.500 0.255 0.255
Ni1 Ni 0.000 0.319 0.319
Si2 Si 0.500 0.534 0.534
Pr1 Pr 0.000 0.103 0.103
Pr2 Pr 0.500 0.894 0.894
Si3 Si 0.000 0.756 0.756
Pd1 Pd 0.500 0.680 0.680
Si4 Si 0.000 0.458 0.458

***

(2)
# Pr2SmSi4Ni2Pd2, optimized geometry, DFT PBE-GGA
# Uncorrected energy ... -0.2238 Ha/atom
# Total magnetic moment ... 0.00 Bohr magnetons per cell
# Calculated volume ... 208 Å³/cell
# Density ... 7.0 g/cm³
data_Pr2SmSi4Ni2Pd2
_chemical_formula_sum 'Pr2 Sm1 Si4 Ni2 Pd2'
_space_group_name_H-M_alt 'P 1'
_space_group_IT_number 1
_cell_length_a 12.511
_cell_length_b 12.511
_cell_length_c 12.511
_cell_angle_alpha 161.27
_cell_angle_beta 160.70
_cell_angle_gamma 27.02
loop_
_space_group_symop_operation_xyz
'x,y,z'
loop_
_atom_site_label
_atom_site_type_symbol
_atom_site_fract_x
_atom_site_fract_y
_atom_site_fract_z
Pd1 Pd 0.099 0.599 0.500
Pr1 Pr 0.652 0.152 0.500
Si1 Si 0.797 0.297 0.500
Ni1 Ni 0.250 0.250 0.000
Ni2 Ni 0.750 0.750 0.000
Pr2 Pr 0.348 0.848 0.500
Si2 Si 0.452 0.452 0.000
Sm1 Sm 0.000 0.000 0.000
Pd2 Pd 0.901 0.401 0.500
Si3 Si 0.548 0.548 0.000
Si4 Si 0.203 0.703 0.500

***

(3)
# PrNiSn2Pd, optimized geometry, DFT PBE-GGA
# Uncorrected energy ... -0.1969 Ha/atom
# Total magnetic moment ... 0.01 Bohr magnetons per cell
# Calculated volume ... 218 Å³/cell
# Density ... 8.3 g/cm³
data_PrNiSn2Pd
_chemical_formula_sum 'Pr2 Ni2 Sn4 Pd2'
_space_group_name_H-M_alt 'P 1'
_space_group_IT_number 1
_cell_length_a 4.493
_cell_length_b 4.493
_cell_length_c 10.781
_cell_angle_alpha 90.00
_cell_angle_beta 90.00
_cell_angle_gamma 90.00
loop_
_space_group_symop_operation_xyz
'x,y,z'
loop_
_atom_site_label
_atom_site_type_symbol
_atom_site_fract_x
_atom_site_fract_y
_atom_site_fract_z
Ni1 Ni 0.500 0.500 0.000
Sn1 Sn 0.000 0.500 0.887
Pd1 Pd 0.000 0.500 0.642
Pr1 Pr 0.000 0.500 0.232
Sn2 Sn 0.000 0.000 0.500
Sn3 Sn 0.500 0.500 0.500
Pd2 Pd 0.500 0.000 0.358
Ni2 Ni 0.000 0.000 0.000
Pr2 Pr 0.500 0.000 0.768
Sn4 Sn 0.500 0.000 0.113